Entry 1:
Compound: Hg2WAu
Source: Alexandria
Functional: GGA-PBE
Structure: optimized geometry

Symmetry   No. 216
Formation energy from the elements   0.90 eV per atom
Polymorph energy (0 for the lowest one)   160.1 kJ/mol of formula units
Total energy   -52.94 eV per cell

POSCAR file:
```
Hg2WAu
1.0
6.778 0.000 0.000
0.000 6.778 0.000
0.000 0.000 6.778
Hg W Au
8 4 4
direct
0.000 0.000 0.000 Hg
0.000 0.500 0.500 Hg
0.250 0.250 0.250 Hg
0.250 0.750 0.750 Hg
0.500 0.000 0.500 Hg
0.500 0.500 0.000 Hg
0.750 0.250 0.750 Hg
0.750 0.750 0.250 Hg
0.000 0.000 0.500 W
0.000 0.500 0.000 W
0.500 0.000 0.000 W
0.500 0.500 0.500 W
0.250 0.250 0.750 Au
0.250 0.750 0.250 Au
0.750 0.250 0.250 Au
0.750 0.750 0.750 Au
```

Entry 2:
Compound: CaSe2Cl
Source: Alexandria
Functional: GGA-PBE
Structure: optimized geometry

Symmetry   No. 6
Polymorph energy (0 for the lowest one)   0.0 kJ/mol of formula units
Total energy   -15.96 eV per cell

POSCAR file:
```
CaSe2Cl
1.0
3.881 0.000 0.000
0.000 3.878 0.000
-0.573 0.000 7.326
Ca Se Cl
1 2 1
direct
0.000 0.000 0.000 Ca
0.048 0.500 0.319 Se
0.548 0.000 0.319 Se
0.480 0.500 0.862 Cl
```

Entry 3:
Compound: Sr2MgZn6Rh
Source: Alexandria
Functional: GGA-PBE
Structure: optimized geometry

Symmetry   No. 166
Formation energy from the elements   -0.24 eV per atom
Total energy   -44.69 eV per cell

POSCAR file:
```
Sr2MgZn6Rh
1.0
3.295 1.902 11.869
-3.295 1.902 11.869
0.000 -3.804 11.869
Sr Mg Zn Rh
4 2 12 2
direct
0.105 0.105 0.105 Sr
0.278 0.278 0.278 Sr
0.722 0.722 0.722 Sr
0.895 0.895 0.895 Sr
0.427 0.427 0.427 Mg
0.573 0.573 0.573 Mg
0.067 0.679 0.679 Zn
0.226 0.226 0.634 Zn
0.226 0.634 0.226 Zn
0.321 0.321 0.933 Zn
0.321 0.933 0.321 Zn
0.366 0.774 0.774 Zn
0.634 0.226 0.226 Zn
0.679 0.067 0.679 Zn
0.679 0.679 0.067 Zn
0.774 0.366 0.774 Zn
0.774 0.774 0.366 Zn
0.933 0.321 0.321 Zn
0.000 0.000 0.000 Rh
0.500 0.500 0.500 Rh
```

Entry 4:
Compound: PmHo3Rh2
Source: Alexandria
Functional: GGA-PBE
Structure: optimized geometry

Symmetry   No. 12
Formation energy from the elements   -0.58 eV per atom
Total energy   -73.38 eV per cell

POSCAR file:
```
PmHo3Rh2
1.0
8.066 -2.128 0.000
8.066 2.128 0.000
-4.723 0.000 9.634
Pm Ho Rh
2 6 4
direct
0.056 0.056 0.212 Pm
0.944 0.944 0.788 Pm
0.212 0.212 0.594 Ho
0.331 0.331 0.971 Ho
0.426 0.426 0.332 Ho
0.574 0.574 0.668 Ho
0.669 0.669 0.029 Ho
0.788 0.788 0.406 Ho
0.138 0.138 0.846 Rh
0.382 0.382 0.579 Rh
0.618 0.618 0.421 Rh
0.862 0.862 0.154 Rh
```

Entry 5:
Compound: MnGa3Pd
Source: Alexandria
Functional: GGA-PBE
Structure: optimized geometry

Symmetry   No. 221
Formation energy from the elements   0.29 eV per atom
Polymorph energy (0 for the lowest one)   0.0 kJ/mol of formula units
Total energy   -21.99 eV per cell

POSCAR file:
```
MnGa3Pd
1.0
4.565 0.000 0.000
0.000 4.565 0.000
0.000 0.000 4.565
Mn Ga Pd
1 3 1
direct
0.000 0.000 0.000 Mn
0.000 0.000 0.500 Ga
0.000 0.500 0.000 Ga
0.500 0.000 0.000 Ga
0.500 0.500 0.500 Pd
```

Entry 6:
Compound: Ba6Pd2Au
Source: Alexandria
Functional: GGA-PBE
Structure: optimized geometry

Symmetry   No. 12
Formation energy from the elements   -0.40 eV per atom
Polymorph energy (0 for the lowest one)   49.8 kJ/mol of formula units
Total energy   -28.76 eV per cell

POSCAR file:
```
Ba6Pd2Au
1.0
7.658 -3.064 0.000
7.658 3.064 0.000
-4.836 0.000 9.293
Ba Pd Au
6 2 1
direct
0.017 0.017 0.209 Ba
0.301 0.301 0.909 Ba
0.352 0.352 0.418 Ba
0.648 0.648 0.582 Ba
0.699 0.699 0.091 Ba
0.983 0.983 0.791 Ba
0.178 0.178 0.097 Pd
0.822 0.822 0.903 Pd
0.000 0.000 0.500 Au
```

Entry 7:
Compound: TaBe2Hg
Source: Alexandria
Functional: GGA-PBE
Structure: optimized geometry

Symmetry   No. 119
Formation energy from the elements   0.51 eV per atom
Total energy   -35.12 eV per cell

POSCAR file:
```
TaBe2Hg
1.0
3.649 0.000 0.000
0.000 3.649 0.000
0.000 0.000 8.723
Ta Be Hg
2 4 2
direct
0.000 0.000 0.000 Ta
0.500 0.500 0.500 Ta
0.000 0.000 0.500 Be
0.000 0.500 0.750 Be
0.500 0.000 0.250 Be
0.500 0.500 0.000 Be
0.000 0.500 0.250 Hg
0.500 0.000 0.750 Hg
```

Entry 8:
Compound: Na4Tl5Hg
Source: Alexandria
Functional: GGA-PBE
Structure: optimized geometry

Symmetry   No. 12
Formation energy from the elements   -0.04 eV per atom
Polymorph energy (0 for the lowest one)   50.3 kJ/mol of formula units
Total energy   -17.79 eV per cell

POSCAR file:
```
Na4Tl5Hg
1.0
7.976 -2.484 0.000
7.976 2.484 0.000
-7.426 0.000 8.198
Na Tl Hg
4 5 1
direct
0.091 0.091 0.345 Na
0.362 0.362 0.109 Na
0.638 0.638 0.891 Na
0.909 0.909 0.655 Na
0.158 0.158 0.120 Tl
0.161 0.161 0.705 Tl
0.500 0.500 0.500 Tl
0.839 0.839 0.295 Tl
0.842 0.842 0.880 Tl
0.500 0.500 0.000 Hg
```

Entry 9:
Compound: Eu2TlP
Source: Alexandria
Functional: GGA-PBE
Structure: optimized geometry

Symmetry   No. 166
Formation energy from the elements   -0.75 eV per atom
Polymorph energy (0 for the lowest one)   0.0 kJ/mol of formula units
Total energy   -93.92 eV per cell

POSCAR file:
```
Eu2TlP
1.0
4.207 0.000 0.000
-2.103 3.643 0.000
0.000 0.000 24.597
Eu Tl P
6 3 3
direct
0.000 0.000 0.231 Eu
0.000 0.000 0.769 Eu
0.333 0.667 0.435 Eu
0.333 0.667 0.898 Eu
0.667 0.333 0.102 Eu
0.667 0.333 0.565 Eu
0.000 0.000 0.000 Tl
0.333 0.667 0.667 Tl
0.667 0.333 0.333 Tl
0.000 0.000 0.500 P
0.333 0.667 0.167 P
0.667 0.333 0.833 P
```

Entry 10:
Compound: NiMoAu3
Source: Alexandria
Functional: GGA-PBE
Structure: optimized geometry

Symmetry   No. 221
Formation energy from the elements   1.06 eV per atom
Polymorph energy (0 for the lowest one)   0.0 kJ/mol of formula units
Total energy   -21.13 eV per cell

POSCAR file:
```
NiMoAu3
1.0
4.726 0.000 0.000
0.000 4.726 0.000
0.000 0.000 4.726
Ni Mo Au
1 1 3
direct
0.000 0.000 0.000 Ni
0.500 0.500 0.500 Mo
0.000 0.000 0.500 Au
0.000 0.500 0.000 Au
0.500 0.000 0.000 Au
```

Entry 11:
Compound: Sc2RhSe
Source: Alexandria
Functional: GGA-PBE
Structure: optimized geometry

Symmetry   No. 123
Polymorph energy (0 for the lowest one)   51.7 kJ/mol of formula units
Total energy   -27.43 eV per cell

POSCAR file:
```
Sc2RhSe
1.0
4.702 0.000 0.000
0.000 4.702 0.000
0.000 0.000 3.297
Sc Rh Se
2 1 1
direct
0.000 0.500 0.000 Sc
0.500 0.000 0.000 Sc
0.000 0.000 0.500 Rh
0.500 0.500 0.500 Se
```

Entry 12:
Compound: Ba2SrCaHg
Source: Alexandria
Functional: GGA-PBE
Structure: optimized geometry

Symmetry   No. 123
Formation energy from the elements   -0.08 eV per atom
Polymorph energy (0 for the lowest one)   20.8 kJ/mol of formula units
Total energy   -8.24 eV per cell

POSCAR file:
```
Ba2SrCaHg
1.0
6.574 0.000 0.000
0.000 6.574 0.000
0.000 0.000 6.443
Ba Sr Ca Hg
2 1 1 1
direct
0.000 0.500 0.000 Ba
0.500 0.000 0.000 Ba
0.000 0.000 0.500 Sr
0.500 0.500 0.500 Ca
0.000 0.000 0.000 Hg
```

Entry 13:
Compound: PmTh2Au
Source: Alexandria
Functional: GGA-PBE
Structure: optimized geometry

Symmetry   No. 123
Formation energy from the elements   -0.23 eV per atom
Polymorph energy (0 for the lowest one)   0.0 kJ/mol of formula units
Total energy   -23.79 eV per cell

POSCAR file:
```
PmTh2Au
1.0
3.688 0.000 0.000
0.000 3.688 0.000
0.000 0.000 8.772
Pm Th Au
1 2 1
direct
0.000 0.000 0.000 Pm
0.500 0.500 0.286 Th
0.500 0.500 0.714 Th
0.000 0.000 0.500 Au
```

Entry 14:
Compound: YPdAu
Source: Alexandria
Functional: GGA-PBE
Structure: optimized geometry

Symmetry   No. 107
Formation energy from the elements   -0.84 eV per atom
Total energy   -34.92 eV per cell

POSCAR file:
```
YPdAu
1.0
3.686 0.000 0.000
0.000 3.686 0.000
0.000 0.000 9.040
Y Pd Au
2 2 2
direct
0.000 0.000 0.000 Y
0.500 0.500 0.500 Y
0.000 0.000 0.662 Pd
0.500 0.500 0.162 Pd
0.000 0.000 0.331 Au
0.500 0.500 0.831 Au
```

Entry 15:
Compound: LiSmSbAu
Source: Alexandria
Functional: GGA-PBE
Structure: optimized geometry

Symmetry   No. 216
Total energy   -68.00 eV per cell

POSCAR file:
```
LiSmSbAu
1.0
7.227 0.000 0.000
0.000 7.227 0.000
0.000 0.000 7.227
Li Sm Sb Au
4 4 4 4
direct
0.000 0.000 0.000 Li
0.000 0.500 0.500 Li
0.500 0.000 0.500 Li
0.500 0.500 0.000 Li
0.000 0.000 0.500 Sm
0.000 0.500 0.000 Sm
0.500 0.000 0.000 Sm
0.500 0.500 0.500 Sm
0.250 0.250 0.250 Sb
0.250 0.750 0.750 Sb
0.750 0.250 0.750 Sb
0.750 0.750 0.250 Sb
0.250 0.250 0.750 Au
0.250 0.750 0.250 Au
0.750 0.250 0.250 Au
0.750 0.750 0.750 Au
```

Entry 16:
Compound: TeMoBr2
Source: Alexandria
Functional: GGA-PBE
Structure: optimized geometry

Symmetry   No. 123
Polymorph energy (0 for the lowest one)   165.7 kJ/mol of formula units
Total energy   -16.44 eV per cell

POSCAR file:
```
TeMoBr2
1.0
3.153 0.000 0.000
0.000 3.153 0.000
0.000 0.000 10.200
Te Mo Br
1 1 2
direct
0.000 0.000 0.000 Te
0.000 0.000 0.500 Mo
0.500 0.500 0.344 Br
0.500 0.500 0.656 Br
```

Entry 17:
Compound: PmNdGdMg
Source: Alexandria
Functional: GGA-PBE
Structure: optimized geometry

Symmetry   No. 216
Formation energy from the elements   0.05 eV per atom
Total energy   -99.98 eV per cell

POSCAR file:
```
PmNdGdMg
1.0
7.948 0.000 0.000
0.000 7.948 0.000
0.000 0.000 7.948
Pm Nd Gd Mg
4 4 4 4
direct
0.000 0.000 0.000 Pm
0.000 0.500 0.500 Pm
0.500 0.000 0.500 Pm
0.500 0.500 0.000 Pm
0.250 0.250 0.250 Nd
0.250 0.750 0.750 Nd
0.750 0.250 0.750 Nd
0.750 0.750 0.250 Nd
0.250 0.250 0.750 Gd
0.250 0.750 0.250 Gd
0.750 0.250 0.250 Gd
0.750 0.750 0.750 Gd
0.000 0.000 0.500 Mg
0.000 0.500 0.000 Mg
0.500 0.000 0.000 Mg
0.500 0.500 0.500 Mg
```

Entry 18:
Compound: LaCo2Mo2
Source: Alexandria
Functional: GGA-PBE
Structure: optimized geometry

Symmetry   No. 139
Formation energy from the elements   0.16 eV per atom
Polymorph energy (0 for the lowest one)   0.0 kJ/mol of formula units
Total energy   -79.97 eV per cell

POSCAR file:
```
LaCo2Mo2
1.0
4.165 0.000 0.000
0.000 4.165 0.000
0.000 0.000 10.321
La Co Mo
2 4 4
direct
0.000 0.000 0.000 La
0.500 0.500 0.500 La
0.000 0.000 0.377 Co
0.000 0.000 0.623 Co
0.500 0.500 0.123 Co
0.500 0.500 0.877 Co
0.000 0.500 0.250 Mo
0.000 0.500 0.750 Mo
0.500 0.000 0.250 Mo
0.500 0.000 0.750 Mo
```

Entry 19:
Compound: PrNpNiS4
Source: Alexandria
Functional: GGA-PBE
Structure: optimized geometry

Symmetry   No. 11
Total energy   -98.55 eV per cell

POSCAR file:
```
PrNpNiS4
1.0
6.487 0.000 0.000
0.000 5.723 0.000
-2.284 0.000 7.539
Pr Np Ni S
2 2 2 8
direct
0.237 0.250 0.434 Pr
0.763 0.750 0.566 Pr
0.251 0.250 0.941 Np
0.749 0.750 0.059 Np
0.264 0.750 0.179 Ni
0.736 0.250 0.821 Ni
0.071 0.750 0.375 S
0.074 0.750 0.901 S
0.483 0.512 0.756 S
0.483 0.988 0.756 S
0.517 0.012 0.244 S
0.517 0.488 0.244 S
0.926 0.250 0.099 S
0.929 0.250 0.625 S
```

Entry 20:
Compound: SrHoGa2Pt2
Source: Alexandria
Functional: GGA-PBE
Structure: optimized geometry

Symmetry   No. 164
Formation energy from the elements   -0.98 eV per atom
Total energy   -30.29 eV per cell

POSCAR file:
```
SrHoGa2Pt2
1.0
4.460 0.000 0.000
-2.230 3.862 0.000
0.000 0.000 7.729
Sr Ho Ga Pt
1 1 2 2
direct
0.000 0.000 0.000 Sr
0.000 0.000 0.500 Ho
0.333 0.667 0.715 Ga
0.667 0.333 0.285 Ga
0.333 0.667 0.295 Pt
0.667 0.333 0.705 Pt
```